# LiIO3, optimized geometry, DFT GGA-PBE
data_LiIO3
_chemical_formula_sum 'Li4 I4 O12'
_cell_length_a 6.112
_cell_length_b 7.692
_cell_length_c 5.369
_cell_angle_alpha 90.00
_cell_angle_beta 90.00
_cell_angle_gamma 90.00
_symmetry_space_group_name_H-M 'P n m a'
_symmetry_Int_Tables_number 62
_symmetry_space_group_name_Hall '-P 2ac 2n'
loop_
_atom_site_label
_atom_site_fract_x
_atom_site_fract_y
_atom_site_fract_z
Li1 0.000 0.000 0.000
I1 0.003 0.250 0.490
O1 0.076 0.250 0.822
O2 0.177 0.074 0.361
# - uncorrected formation energy (meV per atom) = -927

# Ac4Tl2IrPt, optimized geometry, DFT GGA-PBE
data_Ac4Tl2IrPt
_chemical_formula_sum 'Ac4 Tl2 Ir1 Pt1'
_cell_length_a 7.521
_cell_length_b 4.324
_cell_length_c 8.998
_cell_angle_alpha 90.00
_cell_angle_beta 105.98
_cell_angle_gamma 90.00
_symmetry_space_group_name_H-M 'P 1 2/m 1'
_symmetry_Int_Tables_number 10
_symmetry_space_group_name_Hall '-P 2y'
loop_
_atom_site_label
_atom_site_fract_x
_atom_site_fract_y
_atom_site_fract_z
Ac1 0.224 0.000 0.195
Ac2 0.260 0.500 0.802
Tl1 0.000 0.000 0.500
Tl2 0.500 0.500 0.500
Ir1 0.000 0.500 0.000
Pt1 0.500 0.000 0.000
# - formation energy from the elements (eV/atom) = -0.64

# HfTiBe3, optimized geometry, DFT GGA-PBE
data_HfTiBe3
_chemical_formula_sum 'Hf1 Ti1 Be3'
_cell_length_a 4.450
_cell_length_b 4.450
_cell_length_c 4.450
_cell_angle_alpha 90.00
_cell_angle_beta 90.00
_cell_angle_gamma 90.00
_symmetry_space_group_name_H-M 'P m -3 m'
_symmetry_Int_Tables_number 221
_symmetry_space_group_name_Hall '-P 4 2 3'
loop_
_atom_site_label
_atom_site_fract_x
_atom_site_fract_y
_atom_site_fract_z
Hf1 0.000 0.000 0.000
Ti1 0.500 0.500 0.500
Be1 0.000 0.000 0.500
# - formation energy from the elements (eV/atom) = 1.58
# - relative energy among the computed polymorphs (meV per atom) = 651

# Ta12Ga3Fe5, optimized geometry, DFT GGA-PBE
data_Ta12Ga3Fe5
_chemical_formula_sum 'Ta96 Ga24 Fe40'
_cell_length_a 14.518
_cell_length_b 14.518
_cell_length_c 14.518
_cell_angle_alpha 90.00
_cell_angle_beta 90.00
_cell_angle_gamma 90.00
_symmetry_space_group_name_H-M 'I a -3 d'
_symmetry_Int_Tables_number 230
_symmetry_space_group_name_Hall '-I 4bd 2c 3'
loop_
_atom_site_label
_atom_site_fract_x
_atom_site_fract_y
_atom_site_fract_z
Ta1 0.026 0.069 0.646
Ga1 0.000 0.250 0.125
Fe1 0.000 0.000 0.000
Fe2 0.000 0.250 0.375
# - formation energy from the elements (eV/atom) = 0.80